(1)
A relaxed AcNiPt crystal. Source: Alexandria via LeMat-Bulk, functional PBE.

Properties
- total moment (μB/cell) = 0.274
- ΔH_f (0 K) (kJ/mol of atoms) = -71.9
- energy relative to the lowest polymorph listed for this composition (meV/atom) = 1

Cell lengths 4.261, 4.317, 4.317 Å; angles 120.00, 90.00, 90.00 degrees
Fractional positions:
Pt (0.167, 0.000, 0.000)
Ac (0.667, 0.333, 0.667)
Ni (0.167, 0.667, 0.333)

---

(2)
A relaxed TlInSiTe4 crystal. Source: Alexandria via LeMat-Bulk, functional PBE.

Properties
- total moment (μB/cell) = 0.000
- raw formation energy (kJ/mol of formula units) = -114

Cell lengths 7.008, 8.272, 9.263 Å; angles 90.00, 99.58, 90.00 degrees
Fractional positions:
In (0.322, 0.250, 0.670)
In (0.678, 0.750, 0.330)
Te (0.953, 0.510, 0.279)
Te (0.047, 0.490, 0.721)
Te (0.564, 0.250, 0.460)
Te (0.436, 0.750, 0.540)
Te (0.953, 0.990, 0.279)
Te (0.047, 0.010, 0.721)
Te (0.363, 0.750, 0.088)
Te (0.637, 0.250, 0.912)
Si (0.814, 0.250, 0.694)
Si (0.186, 0.750, 0.306)
Tl (0.166, 0.250, 0.037)
Tl (0.834, 0.750, 0.963)

---

(3)
A relaxed K2MnPt crystal. Source: Alexandria via LeMat-Bulk, functional PBE.

Properties
- total moment (μB/cell) = 10.001
- ΔH_f (0 K) (kJ/mol of atoms) = 35.9
- energy relative to the lowest polymorph listed for this composition (meV/atom) = 253

Cell lengths 11.816, 11.816, 8.724 Å; angles 47.37, 47.37, 90.00 degrees
Fractional positions:
K (0.875, 0.040, 0.750)
K (0.960, 0.625, 0.250)
K (0.790, 0.125, 0.250)
K (0.375, 0.210, 0.750)
Mn (0.250, 0.750, 0.500)
Mn (0.500, 0.500, 0.000)
Pt (0.000, 0.000, 0.000)
Pt (0.750, 0.250, 0.500)

---

(4)
A relaxed ZnNi4As crystal. Source: Alexandria via LeMat-Bulk, functional PBE.

Properties
- total moment (μB/cell) = 0.000
- ΔH_f (0 K) (kJ/mol of atoms) = -11.5
- energy relative to the lowest polymorph listed for this composition (meV/atom) = 0

Cell lengths 4.577, 7.081, 4.816 Å; angles 90.00, 68.49, 90.00 degrees
Fractional positions:
Ni (0.105, 0.332, 0.901)
Ni (0.605, 0.168, 0.901)
Ni (0.072, 0.160, 0.389)
Ni (0.428, 0.660, 0.611)
Ni (0.572, 0.340, 0.389)
Ni (0.928, 0.840, 0.611)
Ni (0.395, 0.832, 0.099)
Ni (0.895, 0.668, 0.099)
As (0.000, 0.000, 0.000)
As (0.500, 0.500, 0.000)
Zn (0.000, 0.500, 0.500)
Zn (0.500, 0.000, 0.500)

---

(5)
A relaxed NiAsRu crystal. Source: Alexandria via LeMat-Bulk, functional PBE.

Properties
- total moment (μB/cell) = 0.000
- ΔH_f (0 K) (kJ/mol of atoms) = -17.5
- energy relative to the lowest polymorph listed for this composition (meV/atom) = 0

Cell lengths 3.784, 5.988, 10.545 Å; angles 90.50, 90.00, 90.00 degrees
Fractional positions:
Ru (0.750, 0.040, 0.283)
Ru (0.250, 0.469, 0.620)
Ru (0.250, 0.960, 0.717)
Ru (0.750, 0.652, 0.098)
Ru (0.750, 0.531, 0.380)
Ru (0.250, 0.348, 0.902)
Ni (0.750, 0.141, 0.542)
Ni (0.750, 0.997, 0.915)
Ni (0.250, 0.859, 0.458)
Ni (0.250, 0.003, 0.085)
Ni (0.750, 0.629, 0.793)
Ni (0.250, 0.371, 0.207)
As (0.250, 0.249, 0.418)
As (0.250, 0.750, 0.918)
As (0.750, 0.252, 0.750)
As (0.250, 0.748, 0.250)
As (0.750, 0.751, 0.582)
As (0.750, 0.250, 0.082)

---

(6)
A relaxed Dy7ErCd2 crystal. Source: Alexandria via LeMat-Bulk, functional PBE.

Properties
- total moment (μB/cell) = 0.003
- ΔH_f (0 K) (kJ/mol of atoms) = 39.9

Cell lengths 5.211, 9.063, 9.063 Å; angles 121.02, 90.00, 90.00 degrees
Fractional positions:
Dy (0.500, 0.934, 0.702)
Dy (0.500, 0.066, 0.298)
Dy (0.500, 0.702, 0.934)
Dy (0.000, 0.222, 0.778)
Dy (0.000, 0.778, 0.222)
Dy (0.500, 0.500, 0.500)
Dy (0.500, 0.298, 0.066)
Cd (0.500, 0.696, 0.304)
Cd (0.500, 0.304, 0.696)
Er (0.000, 0.000, 0.000)

---

(7)
A relaxed DyEr2Tl3Se6 crystal. Source: Alexandria via LeMat-Bulk, functional PBE.

Properties
- total moment (μB/cell) = 0.000
- raw formation energy (kJ/mol of formula units) = -1601

Cell lengths 7.212, 7.212, 8.140 Å; angles 98.49, 98.49, 120.00 degrees
Fractional positions:
Se (0.268, 0.268, 0.797)
Se (0.068, 0.403, 0.203)
Se (0.403, 0.068, 0.203)
Se (0.597, 0.932, 0.797)
Se (0.932, 0.597, 0.797)
Se (0.732, 0.732, 0.203)
Tl (0.834, 0.166, 0.500)
Tl (0.500, 0.500, 0.500)
Tl (0.166, 0.834, 0.500)
Er (0.667, 0.333, 0.000)
Er (0.333, 0.667, 0.000)
Dy (0.000, 0.000, 0.000)

---

(8)
A relaxed YBeFe2 crystal. Source: Alexandria via LeMat-Bulk, functional PBE.

Properties
- total moment (μB/cell) = 1.586
- ΔH_f (0 K) (kJ/mol of atoms) = -4.6

Cell lengths 3.877, 3.877, 5.341 Å; angles 68.67, 68.67, 60.00 degrees
Fractional positions:
Fe (0.934, 0.934, 0.198)
Fe (0.566, 0.566, 0.302)
Be (0.250, 0.250, 0.250)
Y (0.750, 0.750, 0.750)

---

(9)
A relaxed NiHAu3 crystal. Source: Alexandria via LeMat-Bulk, functional PBE.

Properties
- total moment (μB/cell) = 0.000
- energy relative to the lowest polymorph listed for this composition (meV/atom) = 0

Cell lengths 4.117, 4.117, 4.117 Å; angles 90.00, 90.00, 90.00 degrees
Fractional positions:
Au (0.000, 0.500, 0.000)
Au (0.500, 0.000, 0.000)
Au (0.000, 0.000, 0.500)
Ni (0.500, 0.500, 0.500)
H (0.000, 0.000, 0.000)

---

(10)
A relaxed TbCo2GeC crystal. Source: Alexandria via LeMat-Bulk, functional PBE.

Properties
- total moment (μB/cell) = 0.000
- ΔH_f (0 K) (kJ/mol of atoms) = -46.7

Cell lengths 3.778, 5.651, 6.865 Å; angles 90.00, 90.00, 109.53 degrees
Fractional positions:
Co (0.160, 0.321, 0.944)
Co (0.840, 0.679, 0.444)
Co (0.160, 0.321, 0.556)
Co (0.840, 0.679, 0.056)
C (0.000, 0.000, 0.500)
C (0.000, 0.000, 0.000)
Ge (0.729, 0.458, 0.750)
Ge (0.271, 0.542, 0.250)
Tb (0.550, 0.100, 0.250)
Tb (0.450, 0.900, 0.750)

---

(11)
A relaxed Mg2AuCl crystal. Source: Alexandria via LeMat-Bulk, functional PBE.

Properties
- total moment (μB/cell) = 0.000
- raw formation energy (kJ/mol of formula units) = -172
- energy relative to the lowest polymorph listed for this composition (meV/atom) = 406

Cell lengths 4.894, 4.894, 4.894 Å; angles 60.00, 60.00, 60.00 degrees
Fractional positions:
Mg (0.250, 0.250, 0.250)
Mg (0.750, 0.750, 0.750)
Au (0.500, 0.500, 0.500)
Cl (0.000, 0.000, 0.000)

---

(12)
A relaxed KBPt3 crystal. Source: Alexandria via LeMat-Bulk, functional PBE.

Properties
- total moment (μB/cell) = 0.000
- ΔH_f (0 K) (kJ/mol of atoms) = -1.0

Cell lengths 7.602, 7.602, 5.180 Å; angles 90.00, 90.00, 137.54 degrees
Fractional positions:
Pt (0.479, 0.033, 0.250)
Pt (0.967, 0.521, 0.250)
Pt (0.000, 0.000, 0.000)
Pt (0.521, 0.967, 0.750)
Pt (0.033, 0.479, 0.750)
Pt (0.000, 0.000, 0.500)
B (0.880, 0.120, 0.750)
B (0.120, 0.880, 0.250)
K (0.577, 0.423, 0.750)
K (0.423, 0.577, 0.250)